a) The following is a GGA-PBE calculation of an optimized crystal structure of In2Hg2Pd, from Alexandria.

* N(E_F): 1.96 states/eV/cell
* mass density: 9.552 g/cm³

a = 3.8911 Å, b = 3.8911 Å, c = 8.9008 Å
α = 77.37°, β = 77.37°, γ = 90.00°
Last column: nearest neighbours and their distance in Å.
Positions (direct):
1 Hg 0.7500 0.2500 0.5000  4 Hg 2.75
2 Hg 0.2500 0.7500 0.5000  4 Hg 2.75
3 In 0.5856 0.5856 0.8288  1 In 2.90, 4 Pd 3.11
4 In 0.4144 0.4144 0.1712  1 In 2.90, 4 Pd 3.11
5 Pd 0.0000 0.0000 0.0000  8 In 3.11

b) The following is a GGA-PBE calculation of an optimized crystal structure of In2Hg2Pd, from Alexandria.

* N(E_F): 4.24 states/eV/cell
* mass density: 10.257 g/cm³

a = 7.3461 Å, b = 7.3461 Å, c = 4.4235 Å
α = 90.00°, β = 90.00°, γ = 90.00°
Last column: nearest neighbours and their distance in Å.
Positions (direct):
1 In 0.6704 0.8296 0.5000  6 Hg 2.92-3.21
2 In 0.1704 0.6704 0.5000  6 Hg 2.92-3.21
3 In 0.3296 0.1704 0.5000  6 Hg 2.92-3.21
4 In 0.8296 0.3296 0.5000  6 Hg 2.92-3.21
5 Hg 0.3542 0.8542 0.0000  2 Pd 2.81, 2 In 2.92, 1 Hg 3.03
6 Hg 0.8542 0.6458 0.0000  2 Pd 2.81, 2 In 2.92, 1 Hg 3.03
7 Hg 0.6458 0.1458 0.0000  2 Pd 2.81, 2 In 2.92, 1 Hg 3.03
8 Hg 0.1458 0.3542 0.0000  2 Pd 2.81, 2 In 2.92, 1 Hg 3.03
9 Pd 0.5000 0.5000 0.0000  4 Hg 2.81
10 Pd 0.0000 0.0000 0.0000  4 Hg 2.81

On energetic grounds, b) is preferred over the next structure by 72 meV/atom.

a) The following is a GGA-PBE calculation of an optimized crystal structure of In2Hg2Pd, from Alexandria.

* N(E_F): 3.94 states/eV/cell
* mass density: 10.130 g/cm³

a = 7.2418 Å, b = 7.2418 Å, c = 4.6088 Å
α = 90.00°, β = 90.00°, γ = 90.00°
Last column: nearest neighbours and their distance in Å.
Positions (direct):
1 In 0.3419 0.8419 0.0000  2 Pd 2.73, 2 Hg 2.97
2 In 0.6581 0.1581 0.0000  2 Pd 2.73, 2 Hg 2.97
3 In 0.8419 0.6581 0.0000  2 Pd 2.73, 2 Hg 2.97
4 In 0.1581 0.3419 0.0000  2 Pd 2.73, 2 Hg 2.97
5 Hg 0.1587 0.6587 0.5000  6 In 2.97-3.25, 1 Hg 3.25
6 Hg 0.3413 0.1587 0.5000  6 In 2.97-3.25, 1 Hg 3.25
7 Hg 0.8413 0.3413 0.5000  6 In 2.97-3.25, 1 Hg 3.25
8 Hg 0.6587 0.8413 0.5000  6 In 2.97-3.25, 1 Hg 3.25
9 Pd 0.0000 0.0000 0.0000  4 In 2.73
10 Pd 0.5000 0.5000 0.0000  4 In 2.73

b) The following is a GGA-PBE calculation of an optimized crystal structure of In2Hg2Pd, from Alexandria.

* N(E_F): 2.36 states/eV/cell
* mass density: 9.794 g/cm³

a = 4.0521 Å, b = 4.0521 Å, c = 8.1336 Å
α = 75.58°, β = 75.58°, γ = 90.00°
Last column: nearest neighbours and their distance in Å.
Positions (direct):
1 In 0.7500 0.2500 0.5000  4 In 2.87, 4 Hg 3.16
2 In 0.2500 0.7500 0.5000  4 In 2.87, 4 Hg 3.16
3 Hg 0.5908 0.5908 0.8185  1 Hg 2.76
4 Hg 0.4092 0.4092 0.1815  1 Hg 2.76
5 Pd 0.0000 0.0000 0.0000  8 Hg 3.18

On energetic grounds, a) is preferred over the next structure by 278 meV/atom.